The following is a DFT calculation (PBE-GGA) of crystalline Hf2AsF at its relaxed geometry.

## Properties
Space-group type: No. 225
Energy above the lowest structure with this stoichiometry: 84 meV per atom

```
Hf2AsF
1.0
2.3200 -1.6222 3.5451
-1.9863 -2.8864 2.8819
1.2662 -4.3557 0.0811
F As Hf
1 1 2
Cartesian
0.0000 0.0000 0.0000 F
0.7999 -4.4321 3.2540 As
0.4000 -2.2161 1.6270 Hf
1.1999 -6.6482 4.8810 Hf
```

=====

The following is a DFT calculation (PBE-GGA) of crystalline HfAsF3 at its relaxed geometry.

## Properties
Space-group type: No. 221
Energy above the lowest structure with this stoichiometry: 0 meV per atom

```
HfAsF3
1.0
-2.3983 -0.2904 -3.5042
3.3085 -1.6226 -2.1299
-1.1906 -3.9241 1.1400
As F Hf
1 3 1
Cartesian
-0.1402 -2.9185 -2.2470 As
1.6543 -0.8113 -1.0649 F
-1.1991 -0.1452 -1.7521 F
-0.5953 -1.9620 0.5700 F
0.0000 0.0000 0.0000 Hf
```

=====

The following is a DFT calculation (PBE-GGA) of crystalline KHfAsF2 at its relaxed geometry.

## Properties
Space-group type: No. 123
E: -4.334 eV per atom

```
KHfAsF2
1.0
-1.1706 2.1942 -4.2188
-4.9506 0.1094 1.4306
0.6985 4.3769 2.0826
Hf F As K
1 2 1 1
Cartesian
-2.4753 0.0547 0.7153 Hf
0.3493 2.1885 1.0413 F
-0.5853 1.0971 -2.1094 F
0.0000 0.0000 0.0000 As
-2.7113 3.3403 -0.3528 K
```

=====

Copy entry 2 word for word.
The following is a DFT calculation (PBE-GGA) of crystalline HfAsF3 at its relaxed geometry.

## Properties
Space-group type: No. 221
Energy above the lowest structure with this stoichiometry: 0 meV per atom

```
HfAsF3
1.0
-2.3983 -0.2904 -3.5042
3.3085 -1.6226 -2.1299
-1.1906 -3.9241 1.1400
As F Hf
1 3 1
Cartesian
-0.1402 -2.9185 -2.2470 As
1.6543 -0.8113 -1.0649 F
-1.1991 -0.1452 -1.7521 F
-0.5953 -1.9620 0.5700 F
0.0000 0.0000 0.0000 Hf
```